Here is a relaxed structure of Sc5Rh2Au from the Alexandria database. Energies are from GGA-PBE.

Computed properties:
Electronic total energy, eV per cell: -111.0
M_tot, μB/cell: 0.00
Energy relative to the elements, eV/atom: -0.73
ρ, g cm⁻³: 6.49
Density of states at the Fermi level, states/eV/cell: 15.0

POSCAR file:
```
Sc5Rh2Au
1.0
6.468 0.000 -3.053
-1.441 6.306 -3.053
-0.153 -0.192 8.054
Sc Rh Au
10 4 2
Cartesian
2.250 4.250 2.052 Sc
3.746 6.126 -3.158 Sc
0.000 0.000 0.000 Sc
2.513 3.153 -3.053 Sc
1.129 -0.012 5.106 Sc
4.109 1.097 3.042 Sc
-0.730 3.141 4.116 Sc
0.765 5.017 -1.094 Sc
5.604 2.973 -2.169 Sc
2.624 1.864 -0.105 Sc
0.384 2.272 -1.527 Rh
3.936 0.881 -2.380 Rh
1.091 5.425 -3.727 Rh
4.643 4.034 -4.580 Rh
3.694 4.633 -0.553 Au
1.180 1.481 2.501 Au
```

Here is a relaxed structure of Er4Hg3Au from the Alexandria database. Energies are from GGA-PBE.

Computed properties:
Electronic total energy, eV per cell: -27.1
M_tot, μB/cell: 0.00
Energy relative to the elements, eV/atom: -0.59
ρ, g cm⁻³: 12.43
Density of states at the Fermi level, states/eV/cell: 4.2

POSCAR file:
```
Er4Hg3Au
1.0
-3.547 -0.883 0.123
0.145 -1.071 -3.494
3.527 -13.563 4.302
Au Hg Er
1 3 4
Cartesian
-1.701 -0.977 -1.686 Au
-0.826 -4.341 -0.619 Hg
0.063 -7.758 0.465 Hg
0.951 -11.175 1.549 Hg
3.114 -11.974 3.798 Er
0.413 -1.589 0.504 Er
1.312 -5.046 1.601 Er
2.215 -8.516 2.701 Er
```

Here is a relaxed structure of LiAcPu2Se4 from the Alexandria database. Energies are from GGA-PBE.

Computed properties:
Electronic total energy, eV per cell: -61.1
M_tot, μB/cell: 11.65
ΔE_f (raw), eV per formula unit: -12.481
ρ, g cm⁻³: 7.96
Density of states at the Fermi level, states/eV/cell: 18.9

POSCAR file:
```
LiAcPu2Se4
1.0
-2.944 -1.801 -2.481
4.958 -5.095 -2.184
-0.286 -5.702 4.479
Li Ac Pu Se
1 1 2 4
Cartesian
0.721 -9.151 2.147 Li
2.336 -5.399 1.148 Ac
-0.286 -5.702 4.479 Pu
-1.615 -3.752 0.999 Pu
3.536 -8.167 1.733 Se
-1.809 -4.432 -1.919 Se
2.242 -6.124 -1.855 Se
-0.514 -6.475 1.669 Se
```

Here is a relaxed structure of ZrMoSeN2 from the Alexandria database. Energies are from GGA-PBE.

Computed properties:
Electronic total energy, eV per cell: -39.0
M_tot, μB/cell: 0.00
ΔE to the lowest computed polymorph, eV/atom: 0.0000
ΔE_f (raw), eV per formula unit: 0.538
ρ, g cm⁻³: 6.21
Density of states at the Fermi level, states/eV/cell: 3.7

POSCAR file:
```
ZrMoSeN2
1.0
3.939 0.000 0.000
0.000 3.939 0.000
0.000 0.000 5.065
Mo Se Zr N
1 1 1 2
Cartesian
0.000 0.000 0.000 Mo
0.000 0.000 2.532 Se
1.970 1.970 2.532 Zr
0.000 1.970 0.000 N
1.970 0.000 0.000 N
```